No. 1
Compound: TlCoCu2
Source: Alexandria
Functional: PBE-GGA
Structure: optimized geometry

Computed properties:
Energy above the most stable polymorph in this dataset ... 0.260 eV per atom
V ... 15.96 A^3/atom
DFT formation energy ... 0.6005 eV per atom
Spin magnetization ... 1.85 Bohr magnetons per cell
N(E_F) ... 1.188 states/eV/atom

Unit cell a=8.620 b=8.620 c=8.620 alpha=19.73 beta=19.73 gamma=19.73
Sites, in units of the cell vectors:
Tl 0.000 0.000 0.000
Co 0.500 0.500 0.500
Cu 0.239 0.239 0.239
Cu 0.761 0.761 0.761

No. 2
Compound: DyCuTe2
Source: Alexandria
Functional: PBE-GGA
Structure: optimized geometry

Computed properties:
V ... 36.34 A^3/atom
Total DFT energy (no corrections) ... -17.94 eV for the cell shown
Spin magnetization ... 0.00 Bohr magnetons per cell

Unit cell a=8.596 b=8.596 c=8.596 alpha=30.54 beta=30.54 gamma=30.54
Sites, in units of the cell vectors:
Dy 0.000 0.000 0.000
Cu 0.500 0.500 0.500
Te 0.401 0.401 0.401
Te 0.599 0.599 0.599

No. 3
Compound: LiLaY
Source: Alexandria
Functional: PBE-GGA
Structure: optimized geometry

Computed properties:
Energy above the most stable polymorph in this dataset ... 0.021 eV per atom
V ... 29.83 A^3/atom
DFT formation energy ... 0.0781 eV per atom
Spin magnetization ... 0.00 Bohr magnetons per cell
N(E_F) ... 1.322 states/eV/atom

Unit cell a=6.776 b=6.776 c=6.776 alpha=147.51 beta=147.51 gamma=46.61
Sites, in units of the cell vectors:
Li 0.000 0.000 0.000
La 0.661 0.661 0.000
Y 0.358 0.358 0.000

No. 4
Compound: GdLuPu2
Source: Alexandria
Functional: PBE-GGA
Structure: optimized geometry

Computed properties:
Energy above the most stable polymorph in this dataset ... 0.000 eV per atom
V ... 28.53 A^3/atom
DFT formation energy ... 0.1614 eV per atom
Spin magnetization ... 5.53 Bohr magnetons per cell
N(E_F) ... 3.634 states/eV/atom

Unit cell a=3.375 b=3.375 c=10.017 alpha=90.00 beta=90.00 gamma=90.00
Sites, in units of the cell vectors:
Gd 0.000 0.000 0.000
Lu 0.000 0.000 0.500
Pu 0.500 0.500 0.253
Pu 0.500 0.500 0.747

No. 5
Compound: Ta5NbW4
Source: Alexandria
Functional: PBE-GGA
Structure: optimized geometry

Computed properties:
V ... 17.27 A^3/atom
DFT formation energy ... -0.0842 eV per atom
Spin magnetization ... 0.00 Bohr magnetons per cell
N(E_F) ... 0.873 states/eV/atom

Unit cell a=3.249 b=3.249 c=16.364 alpha=90.00 beta=90.00 gamma=90.00
Sites, in units of the cell vectors:
Ta 0.000 0.000 0.000
Ta 0.000 0.000 0.198
Ta 0.000 0.000 0.395
Ta 0.000 0.000 0.605
Ta 0.000 0.000 0.802
Nb 0.500 0.500 0.500
W 0.500 0.500 0.099
W 0.500 0.500 0.298
W 0.500 0.500 0.702
W 0.500 0.500 0.901

No. 6
Compound: BaBeCl
Source: Alexandria
Functional: PBE-GGA
Structure: optimized geometry

Computed properties:
Energy above the most stable polymorph in this dataset ... 0.000 eV per atom
V ... 26.65 A^3/atom
Spin magnetization ... 0.00 Bohr magnetons per cell
N(E_F) ... 0.497 states/eV/atom

Unit cell a=8.328 b=8.328 c=4.290 alpha=90.00 beta=90.00 gamma=147.49
Sites, in units of the cell vectors:
Ba 0.119 0.881 0.750
Ba 0.881 0.119 0.250
Be 0.480 0.520 0.750
Be 0.520 0.480 0.250
Cl 0.332 0.668 0.750
Cl 0.668 0.332 0.250